{
  "formula": "NiPtS",
  "functional": "PBE",
  "state": "relaxed",
  "raw_formation_energy_ev_per_atom": -0.12,
  "volume_a3_per_cell": 179,
  "sg": "Cm (8)",
  "e_above_lowest_polymorph_ev_per_atom": 0.051,
  "lattice": [[-0.631, -2.671, -4.145], [3.226, 0.693, -0.938], [3.699, -6.986, 7.565]],
  "species": ["Ni", "Ni", "Ni", "Ni", "S", "S", "S", "S", "Pt", "Pt", "Pt", "Pt"],
  "fractional_positions": [[0.216, 0.000, 0.577], [0.216, 0.500, 0.077], [0.857, 0.000, 0.311], [0.857, 0.500, 0.811], [0.517, 0.000, 0.128], [0.517, 0.500, 0.628], [0.106, 0.000, 0.762], [0.106, 0.500, 0.262], [0.796, 0.000, 0.991], [0.796, 0.500, 0.491], [0.396, 0.000, 0.376], [0.396, 0.500, 0.876]]
}


{
  "formula": "CaPmAgP",
  "functional": "PBE",
  "state": "relaxed",
  "volume_a3_per_cell": 94,
  "sg": "F-43m (216)",
  "e_form_mev_per_atom": -584,
  "lattice": [[-4.578, 0.226, -2.245], [-1.151, -3.231, -3.781], [-3.407, -3.722, 0.772]],
  "species": ["P", "Ca", "Ag", "Pm"],
  "fractional_positions": [[0.750, 0.750, 0.750], [0.500, 0.500, 0.500], [0.250, 0.250, 0.250], [0.000, 0.000, 0.000]]
}


{
  "formula": "CuSiTe2",
  "functional": "PBE",
  "state": "relaxed",
  "raw_formation_energy_ev_per_atom": 0.67,
  "volume_a3_per_cell": 88,
  "sg": "F-43m (216)",
  "lattice": [[-3.193, -2.630, -2.790], [-3.863, -2.319, 2.145], [-4.640, 1.680, -0.736]],
  "species": ["Cu", "Si", "Te", "Te"],
  "fractional_positions": [[0.500, 0.500, 0.500], [0.250, 0.250, 0.250], [0.000, 0.000, 0.000], [0.750, 0.750, 0.750]]
}


{
  "formula": "PuCoNi",
  "functional": "PBE",
  "state": "relaxed",
  "volume_a3_per_cell": 94,
  "sg": "I4/mmm (139)",
  "e_form_mev_per_atom": -90,
  "e_above_lowest_polymorph_ev_per_atom": 0.109,
  "lattice": [[3.676, 0.000, 0.000], [0.000, 3.676, 0.000], [-1.838, -1.838, 6.956]],
  "species": ["Co", "Co", "Ni", "Ni", "Pu", "Pu"],
  "fractional_positions": [[0.121, 0.121, 0.242], [0.879, 0.879, 0.758], [0.000, 0.500, 0.000], [0.500, 0.000, 0.000], [0.663, 0.663, 0.327], [0.337, 0.337, 0.673]]
}


{
  "formula": "PrHo8In2",
  "functional": "PBE",
  "state": "relaxed",
  "volume_a3_per_cell": 341,
  "sg": "C2/m (12)",
  "e_form_mev_per_atom": -53,
  "lattice": [[-0.814, 5.080, 1.315], [-9.798, -2.069, 0.103], [-7.109, -3.234, 6.268]],
  "species": ["Pr", "Ho", "Ho", "Ho", "Ho", "Ho", "Ho", "Ho", "Ho", "In", "In"],
  "fractional_positions": [[0.000, 0.000, 0.000], [0.269, 0.126, 0.603], [0.269, 0.603, 0.126], [0.731, 0.874, 0.397], [0.240, 0.547, 0.547], [0.731, 0.397, 0.874], [0.235, 0.198, 0.198], [0.765, 0.802, 0.802], [0.760, 0.453, 0.453], [0.754, 0.288, 0.288], [0.246, 0.712, 0.712]]
}


{
  "formula": "Li4Nd3Ag4",
  "functional": "PBE",
  "state": "relaxed",
  "volume_a3_per_cell": 249,
  "sg": "P-1 (2)",
  "e_form_mev_per_atom": -157,
  "e_above_lowest_polymorph_ev_per_atom": 0.012,
  "lattice": [[-3.076, 1.761, -0.946], [-1.838, -3.963, -1.397], [-7.952, -3.368, 12.403]],
  "species": ["Li", "Li", "Li", "Li", "Nd", "Nd", "Nd", "Ag", "Ag", "Ag", "Ag"],
  "fractional_positions": [[0.594, 0.094, 0.812], [0.255, 0.254, 0.492], [0.745, 0.746, 0.508], [0.406, 0.906, 0.188], [0.144, 0.644, 0.711], [0.856, 0.356, 0.289], [0.000, 0.000, 0.000], [0.550, 0.549, 0.901], [0.450, 0.451, 0.099], [0.314, 0.814, 0.372], [0.686, 0.186, 0.628]]
}


{
  "formula": "TbNd2HoTm",
  "functional": "PBE",
  "state": "relaxed",
  "volume_a3_per_cell": 337,
  "sg": "Pmma (51)",
  "e_form_mev_per_atom": 267,
  "lattice": [[6.751, 0.000, 0.000], [0.000, 7.953, 1.420], [0.000, -1.088, 6.089]],
  "species": ["Tb", "Tb", "Nd", "Nd", "Nd", "Nd", "Ho", "Ho", "Tm", "Tm"],
  "fractional_positions": [[0.000, 0.000, 0.000], [0.000, 0.000, 0.500], [0.694, 0.698, 0.750], [0.694, 0.302, 0.750], [0.306, 0.698, 0.250], [0.306, 0.302, 0.250], [0.161, 0.500, 0.750], [0.839, 0.500, 0.250], [0.587, 0.000, 0.250], [0.413, 0.000, 0.750]]
}


{
  "formula": "Ti2ZnRh",
  "functional": "PBE",
  "state": "relaxed",
  "volume_a3_per_cell": 133,
  "sg": "I-42d (122)",
  "e_form_mev_per_atom": -84,
  "lattice": [[-4.450, -5.358, -1.488], [1.559, 0.627, -6.921], [0.523, -4.081, -3.916]],
  "species": ["Zn", "Zn", "Rh", "Rh", "Ti", "Ti", "Ti", "Ti"],
  "fractional_positions": [[0.500, 0.500, 0.000], [0.250, 0.750, 0.500], [0.000, 0.000, 0.000], [0.750, 0.250, 0.500], [0.658, 0.125, 0.250], [0.092, 0.625, 0.250], [0.375, 0.342, 0.750], [0.875, 0.908, 0.750]]
}